DFT (PBE) results for an optimized crystal structure of Ba2Cd2Hg3.

Unit cell a=4.731 b=8.659 c=11.240 alpha=90.00 beta=102.15 gamma=90.00
Fractional positions:
Ba: 0.158 0.250 0.317
Ba: 0.842 0.750 0.683
Ba: 0.940 0.250 0.881
Ba: 0.060 0.750 0.119
Cd: 0.687 0.940 0.375
Cd: 0.313 0.060 0.625
Cd: 0.313 0.440 0.625
Cd: 0.687 0.560 0.375
Hg: 0.225 0.750 0.450
Hg: 0.775 0.250 0.550
Hg: 0.560 0.426 0.120
Hg: 0.440 0.574 0.880
Hg: 0.440 0.926 0.880
Hg: 0.560 0.074 0.120

## Properties
* total moment: 0.000 μB/cell
* excess energy over the best structure of this formula in the dataset: 0.00 eV/f.u.
* total energy: -1.329 eV/atom
* space-group type: Cmcm
* formation enthalpy at 0 K: -0.389 eV per atom



DFT (PBE) results for an optimized crystal structure of Ba3CdHg2.

Unit cell a=4.234 b=4.234 c=12.624 alpha=90.00 beta=90.00 gamma=90.00
Fractional positions:
Ba: 0.000 0.000 0.000
Ba: 0.000 0.000 0.670
Ba: 0.000 0.000 0.330
Cd: 0.500 0.500 0.500
Hg: 0.500 0.500 0.833
Hg: 0.500 0.500 0.167

## Properties
* total moment: 0.000 μB/cell
* total energy: -1.671 eV/atom
* space-group type: P4/mmm
* formation enthalpy at 0 K: -0.457 eV per atom



DFT (PBE) results for an optimized crystal structure of Ba2Cd5Hg12.

Unit cell a=8.121 b=8.121 c=8.121 alpha=79.27 beta=79.27 gamma=79.27
Fractional positions:
Ba: 0.669 0.669 0.669
Ba: 0.331 0.331 0.331
Cd: 0.000 0.000 0.500
Cd: 0.000 0.500 0.000
Cd: 0.500 0.000 0.000
Cd: 0.902 0.902 0.902
Cd: 0.098 0.098 0.098
Hg: 0.293 0.707 0.000
Hg: 0.707 0.000 0.293
Hg: 0.000 0.293 0.707
Hg: 0.707 0.293 0.000
Hg: 0.293 0.000 0.707
Hg: 0.000 0.707 0.293
Hg: 0.364 0.364 0.849
Hg: 0.364 0.849 0.364
Hg: 0.849 0.364 0.364
Hg: 0.636 0.151 0.636
Hg: 0.636 0.636 0.151
Hg: 0.151 0.636 0.636

## Properties
* total moment: 0.000 μB/cell
* total energy: -0.825 eV/atom
* space-group type: R-3m
* formation enthalpy at 0 K: -0.191 eV per atom



DFT (PBE) results for an optimized crystal structure of BaCdHg3.

Unit cell a=5.575 b=5.575 c=5.575 alpha=90.00 beta=90.00 gamma=90.00
Fractional positions:
Cd: 0.000 0.000 0.000
Hg: 0.000 0.500 0.000
Hg: 0.000 0.000 0.500
Hg: 0.500 0.000 0.000
Ba: 0.500 0.500 0.500

## Properties
* total moment: 0.000 μB/cell
* excess energy over the best structure of this formula in the dataset: 0.87 eV/f.u.
* total energy: -0.919 eV/atom
* space-group type: Pm-3m
* formation enthalpy at 0 K: -0.171 eV per atom



DFT (PBE) results for an optimized crystal structure of BaCdHg4.

Unit cell a=5.668 b=8.047 c=8.475 alpha=90.00 beta=109.54 gamma=90.00
Fractional positions:
Ba: 0.385 0.750 0.770
Ba: 0.615 0.250 0.230
Cd: 0.140 0.750 0.280
Cd: 0.860 0.250 0.720
Hg: 0.222 0.431 0.443
Hg: 0.778 0.569 0.557
Hg: 0.222 0.069 0.443
Hg: 0.778 0.931 0.557
Hg: 0.597 0.750 0.194
Hg: 0.403 0.250 0.806
Hg: 0.000 0.500 0.000
Hg: 0.000 0.000 0.000

## Properties
* total moment: 0.000 μB/cell
* excess energy over the best structure of this formula in the dataset: 0.00 eV/f.u.
* total energy: -0.916 eV/atom
* space-group type: Cmcm
* formation enthalpy at 0 K: -0.242 eV per atom



DFT (PBE) results for an optimized crystal structure of BaCd2Hg2.

Unit cell a=4.737 b=4.737 c=7.369 alpha=71.25 beta=71.25 gamma=90.00
Fractional positions:
Cd: 0.750 0.250 0.500
Cd: 0.250 0.750 0.500
Hg: 0.387 0.387 0.226
Hg: 0.613 0.613 0.774
Ba: 0.000 0.000 0.000

## Properties
* total moment: 0.000 μB/cell
* excess energy over the best structure of this formula in the dataset: 0.00 eV/f.u.
* total energy: -1.210 eV/atom
* space-group type: I4/mmm
* formation enthalpy at 0 K: -0.338 eV per atom



DFT (PBE) results for an optimized crystal structure of BaCd2Hg5.

Unit cell a=4.590 b=7.655 c=7.655 alpha=63.98 beta=72.56 gamma=72.56
Fractional positions:
Ba: 0.000 0.000 0.000
Cd: 0.755 0.745 0.745
Cd: 0.245 0.255 0.255
Hg: 0.000 0.500 0.500
Hg: 0.630 0.567 0.172
Hg: 0.370 0.433 0.828
Hg: 0.370 0.828 0.433
Hg: 0.630 0.172 0.567

## Properties
* total moment: 0.000 μB/cell
* excess energy over the best structure of this formula in the dataset: 0.00 eV/f.u.
* total energy: -0.861 eV/atom
* space-group type: Immm
* formation enthalpy at 0 K: -0.203 eV per atom



DFT (PBE) results for an optimized crystal structure of BaCdHg6.

Unit cell a=5.329 b=6.971 c=6.971 alpha=116.19 beta=90.00 gamma=90.00
Fractional positions:
Ba: 0.500 0.388 0.612
Cd: 0.000 0.121 0.879
Hg: 0.000 0.043 0.372
Hg: 0.000 0.628 0.957
Hg: 0.000 0.583 0.417
Hg: 0.500 0.424 0.120
Hg: 0.500 0.880 0.576
Hg: 0.500 0.933 0.067

## Properties
* total moment: 0.000 μB/cell
* excess energy over the best structure of this formula in the dataset: 0.19 eV/f.u.
* total energy: -0.782 eV/atom
* space-group type: Amm2
* formation enthalpy at 0 K: -0.201 eV per atom



DFT (PBE) results for an optimized crystal structure of BaCd5Hg11.

Unit cell a=6.823 b=8.306 c=8.306 alpha=95.98 beta=96.31 gamma=96.31
Fractional positions:
Ba: 0.000 0.000 0.000
Cd: 0.642 0.029 0.355
Cd: 0.358 0.971 0.645
Cd: 0.358 0.645 0.971
Cd: 0.642 0.355 0.029
Cd: 0.000 0.500 0.500
Hg: 0.466 0.628 0.628
Hg: 0.534 0.372 0.372
Hg: 0.751 0.223 0.693
Hg: 0.249 0.777 0.307
Hg: 0.249 0.307 0.777
Hg: 0.751 0.693 0.223
Hg: 0.500 0.000 0.000
Hg: 0.888 0.846 0.590
Hg: 0.112 0.154 0.410
Hg: 0.112 0.410 0.154
Hg: 0.888 0.590 0.846

## Properties
* total moment: 0.000 μB/cell
* total energy: -0.653 eV/atom
* space-group type: C2/m
* formation enthalpy at 0 K: -0.076 eV per atom



DFT (PBE) results for an optimized crystal structure of BaCdHg3.

Unit cell a=7.217 b=9.112 c=9.261 alpha=104.27 beta=90.00 gamma=90.00
Fractional positions:
Ba: 0.027 0.730 0.256
Ba: 0.973 0.270 0.744
Ba: 0.527 0.270 0.244
Ba: 0.473 0.730 0.756
Cd: 0.302 0.995 0.527
Cd: 0.698 0.005 0.473
Cd: 0.802 0.005 0.973
Cd: 0.198 0.995 0.027
Hg: 0.036 0.133 0.349
Hg: 0.964 0.867 0.651
Hg: 0.536 0.867 0.151
Hg: 0.464 0.133 0.849
Hg: 0.510 0.678 0.368
Hg: 0.490 0.322 0.632
Hg: 0.010 0.322 0.132
Hg: 0.990 0.678 0.868
Hg: 0.201 0.484 0.480
Hg: 0.799 0.516 0.520
Hg: 0.701 0.516 0.020
Hg: 0.299 0.484 0.980

## Properties
* total moment: 0.000 μB/cell
* excess energy over the best structure of this formula in the dataset: 0.00 eV/f.u.
* total energy: -1.094 eV/atom
* space-group type: P2_1/c
* formation enthalpy at 0 K: -0.345 eV per atom



DFT (PBE) results for an optimized crystal structure of BaCd3Hg6.

Unit cell a=7.750 b=9.271 c=8.326 alpha=113.96 beta=90.00 gamma=90.00
Fractional positions:
Ba: 0.500 0.500 0.500
Ba: 0.000 0.000 0.000
Cd: 0.155 0.451 0.188
Cd: 0.500 0.500 0.000
Cd: 0.845 0.549 0.812
Cd: 0.345 0.951 0.688
Cd: 0.000 0.000 0.500
Cd: 0.655 0.049 0.312
Hg: 0.789 0.356 0.109
Hg: 0.935 0.323 0.443
Hg: 0.650 0.218 0.706
Hg: 0.350 0.782 0.294
Hg: 0.065 0.677 0.557
Hg: 0.211 0.644 0.891
Hg: 0.711 0.856 0.609
Hg: 0.565 0.823 0.943
Hg: 0.850 0.718 0.206
Hg: 0.150 0.282 0.794
Hg: 0.435 0.177 0.057
Hg: 0.289 0.144 0.391

## Properties
* total moment: 0.000 μB/cell
* total energy: -0.801 eV/atom
* space-group type: P2_1/c
* formation enthalpy at 0 K: -0.153 eV per atom



DFT (PBE) results for an optimized crystal structure of BaCd4Hg.

Unit cell a=4.950 b=7.715 c=9.216 alpha=90.00 beta=105.58 gamma=90.00
Fractional positions:
Ba: 0.127 0.250 0.253
Ba: 0.873 0.750 0.747
Cd: 0.500 0.500 0.000
Cd: 0.500 0.000 0.000
Cd: 0.668 0.937 0.335
Cd: 0.332 0.063 0.665
Cd: 0.332 0.437 0.665
Cd: 0.668 0.563 0.335
Cd: 0.069 0.750 0.139
Cd: 0.931 0.250 0.861
Hg: 0.236 0.750 0.472
Hg: 0.764 0.250 0.528

## Properties
* total moment: 0.000 μB/cell
* excess energy over the best structure of this formula in the dataset: 0.00 eV/f.u.
* total energy: -1.193 eV/atom
* space-group type: Cmcm
* formation enthalpy at 0 K: -0.212 eV per atom



DFT (PBE) results for an optimized crystal structure of BaCdHg5.

Unit cell a=5.795 b=5.795 c=7.320 alpha=90.03 beta=90.03 gamma=115.37
Fractional positions:
Ba: 0.000 0.000 0.000
Cd: 0.500 0.500 0.500
Hg: 0.500 0.000 0.272
Hg: 0.000 0.500 0.272
Hg: 0.000 0.000 0.500
Hg: 0.000 0.500 0.728
Hg: 0.500 0.000 0.728

## Properties
* total moment: 0.000 μB/cell
* total energy: -0.818 eV/atom
* space-group type: Cmmm
* formation enthalpy at 0 K: -0.197 eV per atom



DFT (PBE) results for an optimized crystal structure of Ba8CdHg2.

Unit cell a=7.110 b=9.394 c=9.394 alpha=111.06 beta=99.64 gamma=99.64
Fractional positions:
Ba: 0.582 0.336 0.073
Ba: 0.582 0.073 0.336
Ba: 0.178 0.364 0.364
Ba: 0.985 0.227 0.776
Ba: 0.985 0.776 0.227
Ba: 0.800 0.641 0.641
Ba: 0.386 0.936 0.670
Ba: 0.386 0.670 0.936
Cd: 0.143 0.003 0.003
Hg: 0.486 0.689 0.319
Hg: 0.486 0.319 0.689

## Properties
* total moment: 0.000 μB/cell
* excess energy over the best structure of this formula in the dataset: 0.49 eV/f.u.
* total energy: -1.721 eV/atom
* space-group type: Cm
* formation enthalpy at 0 K: -0.184 eV per atom



DFT (PBE) results for an optimized crystal structure of BaCd2Hg4.

Unit cell a=5.901 b=6.405 c=6.405 alpha=77.75 beta=62.57 gamma=62.57
Fractional positions:
Hg: 0.693 0.000 0.614
Hg: 0.307 0.000 0.386
Hg: 0.693 0.614 0.000
Hg: 0.307 0.386 0.000
Ba: 0.000 0.000 0.000
Cd: 0.750 0.500 0.500
Cd: 0.250 0.500 0.500

## Properties
* total moment: 0.000 μB/cell
* excess energy over the best structure of this formula in the dataset: 0.00 eV/f.u.
* total energy: -0.963 eV/atom
* space-group type: I4/mmm
* formation enthalpy at 0 K: -0.254 eV per atom



DFT (PBE) results for an optimized crystal structure of Ba2CdHg.

Unit cell a=5.982 b=4.244 c=5.982 alpha=90.00 beta=90.00 gamma=90.00
Fractional positions:
Cd: 0.000 0.625 0.375
Hg: 0.500 0.625 0.875
Ba: 0.000 0.125 0.875
Ba: 0.500 0.125 0.375

## Properties
* total moment: 0.000 μB/cell
* excess energy over the best structure of this formula in the dataset: 0.01 eV/f.u.
* total energy: -1.685 eV/atom
* space-group type: P4/mmm
* formation enthalpy at 0 K: -0.419 eV per atom



DFT (PBE) results for an optimized crystal structure of Ba5CdHg4.

Unit cell a=4.211 b=4.211 c=21.181 alpha=90.00 beta=90.00 gamma=90.00
Fractional positions:
Ba: 0.500 0.500 0.103
Ba: 0.500 0.500 0.301
Ba: 0.500 0.500 0.500
Ba: 0.500 0.500 0.699
Ba: 0.500 0.500 0.897
Cd: 0.000 0.000 0.000
Hg: 0.000 0.000 0.201
Hg: 0.000 0.000 0.401
Hg: 0.000 0.000 0.599
Hg: 0.000 0.000 0.799

## Properties
* total moment: 0.000 μB/cell
* total energy: -1.656 eV/atom
* space-group type: P4/mmm
* formation enthalpy at 0 K: -0.483 eV per atom



DFT (PBE) results for an optimized crystal structure of Ba5CdHg2.

Unit cell a=9.463 b=9.463 c=10.373 alpha=117.14 beta=117.14 gamma=90.00
Fractional positions:
Ba: 0.522 0.695 0.717
Ba: 0.805 0.978 0.283
Ba: 0.000 0.000 0.000
Ba: 0.500 0.500 0.000
Ba: 0.195 0.022 0.717
Ba: 0.695 0.195 0.717
Ba: 0.022 0.522 0.717
Ba: 0.305 0.805 0.283
Ba: 0.978 0.478 0.283
Ba: 0.478 0.305 0.283
Cd: 0.750 0.750 0.500
Cd: 0.250 0.250 0.500
Hg: 0.129 0.371 0.000
Hg: 0.629 0.129 0.000
Hg: 0.371 0.871 0.000
Hg: 0.871 0.629 0.000

## Properties
* total moment: 1.152 μB/cell
* total energy: -1.714 eV/atom
* space-group type: I4/mcm
* formation enthalpy at 0 K: -0.323 eV per atom



DFT (PBE) results for an optimized crystal structure of BaCd2Hg2.

Unit cell a=5.391 b=5.391 c=6.445 alpha=65.28 beta=65.28 gamma=90.00
Fractional positions:
Cd: 0.366 0.366 0.269
Cd: 0.634 0.634 0.731
Hg: 0.750 0.250 0.500
Hg: 0.250 0.750 0.500
Ba: 0.000 0.000 0.000

## Properties
* total moment: 0.000 μB/cell
* excess energy over the best structure of this formula in the dataset: 0.14 eV/f.u.
* total energy: -1.182 eV/atom
* space-group type: I4/mmm
* formation enthalpy at 0 K: -0.311 eV per atom



DFT (PBE) results for an optimized crystal structure of Ba8Cd2Hg.

Unit cell a=7.322 b=9.439 c=9.439 alpha=111.73 beta=100.84 gamma=100.84
Fractional positions:
Ba: 0.585 0.341 0.080
Ba: 0.585 0.080 0.341
Ba: 0.170 0.355 0.355
Ba: 0.984 0.213 0.790
Ba: 0.984 0.790 0.213
Ba: 0.801 0.645 0.645
Ba: 0.375 0.930 0.667
Ba: 0.375 0.667 0.930
Cd: 0.480 0.691 0.318
Cd: 0.480 0.318 0.691
Hg: 0.180 0.003 0.003

## Properties
* total moment: 0.000 μB/cell
* excess energy over the best structure of this formula in the dataset: 0.59 eV/f.u.
* total energy: -1.732 eV/atom
* space-group type: Cm
* formation enthalpy at 0 K: -0.139 eV per atom